# 1
Below is crystalline Dy2YMg9 at its relaxed geometry, with properties calculated at the PBE level.

Calculated values
Spin magnetization (μB per formula unit): 0.00
Formation energy from the elements (eV per atom): -0.0356
Energy (eV per atom): -2.54
V (Å³/atom): 25.5

a b c (Å): 10.2968 10.2968 10.2968
angles (deg): 34.09 34.09 34.09
Fractional coordinates of all 12 atoms:
Dy (0.1427, 0.1427, 0.1427)
Dy (0.8573, 0.8573, 0.8573)
Y (0.0000, 0.0000, 0.0000)
Mg (0.0791, 0.5867, 0.5867)
Mg (0.3341, 0.3341, 0.3341)
Mg (0.4133, 0.4133, 0.9209)
Mg (0.4133, 0.9209, 0.4133)
Mg (0.5000, 0.5000, 0.5000)
Mg (0.5867, 0.0791, 0.5867)
Mg (0.5867, 0.5867, 0.0791)
Mg (0.6659, 0.6659, 0.6659)
Mg (0.9209, 0.4133, 0.4133)

---

# 2
Below is crystalline Dy2Y4Mg at its relaxed geometry, with properties calculated at the PBE level.

Calculated values
Spin magnetization (μB per formula unit): 0.00
Formation energy from the elements (eV per atom): 0.1347
Energy (eV per atom): -5.10
V (Å³/atom): 32.4
Distance to the lowest polymorph of the same formula (meV per atom): 39

a b c (Å): 5.9376 3.6373 10.6369
angles (deg): 90.00 99.14 90.00
Fractional coordinates of all 7 atoms:
Dy (0.0000, 0.0000, 0.0000)
Dy (0.5000, 0.5000, 0.0000)
Y (0.0599, 0.5000, 0.6959)
Y (0.4215, 0.0000, 0.2524)
Y (0.5785, 0.0000, 0.7476)
Y (0.9401, 0.5000, 0.3041)
Mg (0.5000, 0.5000, 0.5000)

---

# 3
Below is crystalline DyY3Mg at its relaxed geometry, with properties calculated at the PBE level.

Calculated values
Spin magnetization (μB per formula unit): 0.00
Formation energy from the elements (eV per atom): -0.0086
Energy (eV per atom): -5.13
V (Å³/atom): 30.4
Distance to the lowest polymorph of the same formula (meV per atom): 0

a b c (Å): 14.3556 14.3556 5.9741
angles (deg): 93.75 93.75 14.33
Fractional coordinates of all 10 atoms:
Dy (0.2472, 0.2472, 0.2518)
Dy (0.7528, 0.7528, 0.7482)
Y (0.1516, 0.1516, 0.8735)
Y (0.3560, 0.3560, 0.6264)
Y (0.4534, 0.4534, 0.2867)
Y (0.5466, 0.5466, 0.7133)
Y (0.6440, 0.6440, 0.3736)
Y (0.8484, 0.8484, 0.1265)
Mg (0.0495, 0.0495, 0.2024)
Mg (0.9505, 0.9505, 0.7976)

---

# 4
Below is crystalline Dy2Y3Mg at its relaxed geometry, with properties calculated at the PBE level.

Calculated values
Spin magnetization (μB per formula unit): 0.00
Formation energy from the elements (eV per atom): 0.0625
Energy (eV per atom): -4.97
V (Å³/atom): 31.2
Distance to the lowest polymorph of the same formula (meV per atom): 79

a b c (Å): 9.2200 9.2200 6.9851
angles (deg): 90.04 90.04 39.13
Fractional coordinates of all 12 atoms:
Dy (0.1757, 0.1956, 0.2496)
Dy (0.1956, 0.1757, 0.7496)
Dy (0.8044, 0.8243, 0.2504)
Dy (0.8243, 0.8044, 0.7504)
Y (0.1868, 0.8132, 0.2500)
Y (0.3594, 0.3591, 0.0000)
Y (0.3591, 0.3594, 0.5000)
Y (0.6406, 0.6409, 0.0000)
Y (0.6409, 0.6406, 0.5000)
Y (0.8132, 0.1868, 0.7500)
Mg (0.3043, 0.6957, 0.7500)
Mg (0.6957, 0.3043, 0.2500)

---

# 5
Below is crystalline Dy2Y6Mg at its relaxed geometry, with properties calculated at the PBE level.

Calculated values
Spin magnetization (μB per formula unit): 0.00
Formation energy from the elements (eV per atom): 0.0265
Energy (eV per atom): -5.48
V (Å³/atom): 31.3
Distance to the lowest polymorph of the same formula (meV per atom): 0

a b c (Å): 10.5459 10.5459 5.0586
angles (deg): 90.00 90.00 90.00
Fractional coordinates of all 18 atoms:
Dy (0.1689, 0.1689, 0.0000)
Dy (0.3311, 0.6689, 0.5000)
Dy (0.6689, 0.3311, 0.5000)
Dy (0.8311, 0.8311, 0.0000)
Y (0.0020, 0.3323, 0.5000)
Y (0.1635, 0.8365, 0.0000)
Y (0.1677, 0.5020, 0.0000)
Y (0.3323, 0.0020, 0.5000)
Y (0.3365, 0.3365, 0.5000)
Y (0.4980, 0.8323, 0.0000)
Y (0.5020, 0.1677, 0.0000)
Y (0.6635, 0.6635, 0.5000)
Y (0.6677, 0.9980, 0.5000)
Y (0.8323, 0.4980, 0.0000)
Y (0.8365, 0.1635, 0.0000)
Y (0.9980, 0.6677, 0.5000)
Mg (0.0000, 0.0000, 0.5000)
Mg (0.5000, 0.5000, 0.0000)

---

# 6
Below is crystalline Dy2Y8Mg at its relaxed geometry, with properties calculated at the PBE level.

Calculated values
Spin magnetization (μB per formula unit): 0.00
Formation energy from the elements (eV per atom): 0.1785
Energy (eV per atom): -5.50
V (Å³/atom): 32.2
Distance to the lowest polymorph of the same formula (meV per atom): 40

a b c (Å): 9.4434 9.4434 6.4020
angles (deg): 108.86 108.86 41.45
Fractional coordinates of all 11 atoms:
Dy (0.2297, 0.2297, 0.1147)
Dy (0.7703, 0.7703, 0.8853)
Y (0.0742, 0.0742, 0.2452)
Y (0.1582, 0.6503, 0.2814)
Y (0.2983, 0.2983, 0.6818)
Y (0.3497, 0.8418, 0.7186)
Y (0.6503, 0.1582, 0.2814)
Y (0.7017, 0.7017, 0.3182)
Y (0.8418, 0.3497, 0.7186)
Y (0.9258, 0.9258, 0.7548)
Mg (0.5000, 0.5000, 0.0000)

---

# 7
Below is crystalline DyY4Mg2 at its relaxed geometry, with properties calculated at the PBE level.

Calculated values
Spin magnetization (μB per formula unit): 0.00
Formation energy from the elements (eV per atom): -0.0258
Energy (eV per atom): -4.83
V (Å³/atom): 29.6

a b c (Å): 8.6144 8.6144 8.6144
angles (deg): 36.94 36.94 36.94
Fractional coordinates of all 7 atoms:
Dy (0.0000, 0.0000, 0.0000)
Y (0.1548, 0.1548, 0.1548)
Y (0.4256, 0.4256, 0.4256)
Y (0.5744, 0.5744, 0.5744)
Y (0.8452, 0.8452, 0.8452)
Mg (0.2888, 0.2888, 0.2888)
Mg (0.7112, 0.7112, 0.7112)

---

# 8
Below is crystalline DyY3Mg12 at its relaxed geometry, with properties calculated at the PBE level.

Calculated values
Spin magnetization (μB per formula unit): 0.00
Formation energy from the elements (eV per atom): -0.0771
Energy (eV per atom): -2.77
V (Å³/atom): 25.4

a b c (Å): 4.6307 4.6307 18.9775
angles (deg): 90.00 90.00 90.00
Fractional coordinates of all 16 atoms:
Dy (0.0000, 0.0000, 0.0000)
Y (0.0000, 0.0000, 0.2498)
Y (0.0000, 0.0000, 0.5000)
Y (0.0000, 0.0000, 0.7502)
Mg (0.0000, 0.5000, 0.1247)
Mg (0.0000, 0.5000, 0.3748)
Mg (0.0000, 0.5000, 0.6252)
Mg (0.0000, 0.5000, 0.8753)
Mg (0.5000, 0.0000, 0.1247)
Mg (0.5000, 0.0000, 0.3748)
Mg (0.5000, 0.0000, 0.6252)
Mg (0.5000, 0.0000, 0.8753)
Mg (0.5000, 0.5000, 0.0000)
Mg (0.5000, 0.5000, 0.2495)
Mg (0.5000, 0.5000, 0.5000)
Mg (0.5000, 0.5000, 0.7505)

---

# 9
Below is crystalline DyY3Mg at its relaxed geometry, with properties calculated at the PBE level.

Calculated values
Spin magnetization (μB per formula unit): 0.00
Formation energy from the elements (eV per atom): 0.0579
Energy (eV per atom): -5.06
V (Å³/atom): 31.1
Distance to the lowest polymorph of the same formula (meV per atom): 66

a b c (Å): 3.5021 6.9459 12.9056
angles (deg): 90.00 97.77 90.00
Fractional coordinates of all 10 atoms:
Dy (0.0009, 0.2500, 0.0028)
Dy (0.9991, 0.7500, 0.9972)
Y (0.2055, 0.7500, 0.4109)
Y (0.4005, 0.0084, 0.8004)
Y (0.4005, 0.4916, 0.8004)
Y (0.5995, 0.5084, 0.1996)
Y (0.5995, 0.9916, 0.1996)
Y (0.7945, 0.2500, 0.5891)
Mg (0.1847, 0.2500, 0.3706)
Mg (0.8153, 0.7500, 0.6294)

---

# 10
Below is crystalline Dy2Y2Mg at its relaxed geometry, with properties calculated at the PBE level.

Calculated values
Spin magnetization (μB per formula unit): 0.00
Formation energy from the elements (eV per atom): 0.2015
Energy (eV per atom): -4.54
V (Å³/atom): 32.9
Distance to the lowest polymorph of the same formula (meV per atom): 188

a b c (Å): 13.0644 13.0644 13.0644
angles (deg): 157.39 157.39 32.18
Fractional coordinates of all 10 atoms:
Dy (0.0498, 0.2998, 0.7500)
Dy (0.2998, 0.0498, 0.2500)
Dy (0.7002, 0.9502, 0.7500)
Dy (0.9502, 0.7002, 0.2500)
Y (0.2032, 0.4532, 0.7500)
Y (0.4532, 0.2032, 0.2500)
Y (0.5468, 0.7968, 0.7500)
Y (0.7968, 0.5468, 0.2500)
Mg (0.3750, 0.6250, 0.7500)
Mg (0.6250, 0.3750, 0.2500)

---

# 11
Below is crystalline Dy2Y3Mg at its relaxed geometry, with properties calculated at the PBE level.

Calculated values
Spin magnetization (μB per formula unit): 0.00
Formation energy from the elements (eV per atom): -0.0167
Energy (eV per atom): -5.05
V (Å³/atom): 30.6
Distance to the lowest polymorph of the same formula (meV per atom): 0

a b c (Å): 3.5759 3.5759 14.3440
angles (deg): 90.00 90.00 90.00
Fractional coordinates of all 6 atoms:
Dy (0.0000, 0.0000, 0.1752)
Dy (0.0000, 0.0000, 0.8248)
Y (0.5000, 0.5000, 0.0000)
Y (0.5000, 0.5000, 0.3476)
Y (0.5000, 0.5000, 0.6524)
Mg (0.0000, 0.0000, 0.5000)

---

# 12
Below is crystalline Dy3Y3Mg at its relaxed geometry, with properties calculated at the PBE level.

Calculated values
Spin magnetization (μB per formula unit): 0.73
Formation energy from the elements (eV per atom): 0.0120
Energy (eV per atom): -4.96
V (Å³/atom): 30.9
Distance to the lowest polymorph of the same formula (meV per atom): 0

a b c (Å): 9.4456 9.4456 5.6048
angles (deg): 90.00 90.00 120.00
Fractional coordinates of all 14 atoms:
Dy (0.0560, 0.8166, 0.2500)
Dy (0.1834, 0.2394, 0.2500)
Dy (0.2394, 0.0560, 0.7500)
Dy (0.7606, 0.9440, 0.2500)
Dy (0.8166, 0.7606, 0.7500)
Dy (0.9440, 0.1834, 0.7500)
Y (0.1024, 0.6264, 0.7500)
Y (0.3736, 0.4760, 0.7500)
Y (0.4760, 0.1024, 0.2500)
Y (0.5240, 0.8976, 0.7500)
Y (0.6264, 0.5240, 0.2500)
Y (0.8976, 0.3736, 0.2500)
Mg (0.3333, 0.6667, 0.2500)
Mg (0.6667, 0.3333, 0.7500)